## Ce2Al5Cu12 (PBE)

Data for a relaxed structure of Ce2Al5Cu12.

abc: 6.6218 6.6218 6.6218
angles: 82.89 82.89 82.89
Element x y z (fractional)
1 Ce 0.1534 0.1534 0.1534
2 Ce 0.8466 0.8466 0.8466
3 Al 0.0000 0.5000 0.5000
4 Al 0.4008 0.4008 0.4008
5 Al 0.5000 0.0000 0.5000
6 Al 0.5000 0.5000 0.0000
7 Al 0.5992 0.5992 0.5992
8 Cu 0.1536 0.1536 0.6500
9 Cu 0.1536 0.6500 0.1536
10 Cu 0.2074 0.5000 0.7926
11 Cu 0.2074 0.7926 0.5000
12 Cu 0.3500 0.8464 0.8464
13 Cu 0.5000 0.2074 0.7926
14 Cu 0.5000 0.7926 0.2074
15 Cu 0.6500 0.1536 0.1536
16 Cu 0.7926 0.2074 0.5000
17 Cu 0.7926 0.5000 0.2074
18 Cu 0.8464 0.3500 0.8464
19 Cu 0.8464 0.8464 0.3500

Values from the calculation:
Calculated volume: 284.2 Å³ per cell
SG: R-3m, No. 166
Calculated total energy: -84.1 eV per cell
E_form: -0.228 eV per atom